(1)
DFT (PBE) results for a relaxed structure of YSc2S.

Its formation energy from raw total energies is -0.86 eV per atom. For the density, the calculation gives 4.0 g cm⁻³.

Unit cell a=3.6710 b=11.0671 c=8.5891 alpha=90.00 beta=90.00 gamma=90.00
Closest atoms and distances in Å follow each position.
Space group Cmcm (No. 63)
Unique sites:
Y 0.0000 0.0629 0.2500  2 S 2.88
Sc 0.0000 0.3560 0.0503  3 S 2.71-2.90
S 0.0000 0.2370 0.7500  6 Sc 2.71-2.90, 2 Y 2.88



(2)
DFT (PBE) results for a relaxed structure of BaGe3S.

Its formation energy from raw total energies is 1.59 eV per atom. For the density, the calculation gives 3.2 g cm⁻³. The value obtained for the energy above the most stable polymorph in this dataset is 7.795 eV/f.u.

Unit cell a=5.8714 b=5.8714 c=5.8714 alpha=90.00 beta=90.00 gamma=90.00
Closest atoms and distances in Å follow each position.
Space group Pm-3m (No. 221)
Unique sites:
Ba 0.0000 0.0000 0.0000  6 Ge 2.94
Ge 0.0000 0.0000 0.5000  2 Ba 2.94
S 0.5000 0.5000 0.5000  12 Ge 4.15



(3)
DFT (PBE) results for a relaxed structure of MgSi.

Its formation energy from raw total energies is 0.03 eV per atom. For the density, the calculation gives 2.3 g cm⁻³.

Unit cell a=5.2921 b=6.0784 c=14.3829 alpha=88.73 beta=89.59 gamma=76.78
Closest atoms and distances in Å follow each position.
Space group P-1 (No. 2)
Unique sites:
Mg 0.0393 0.4362 0.2834  6 Si 2.77-3.00, 1 Mg 3.07
Mg 0.1060 0.9213 0.2546  6 Si 2.77-2.97, 2 Mg 3.07-3.11
Mg 0.2285 0.2035 0.0798  6 Si 2.75-2.99, 1 Mg 3.06
Mg 0.2873 0.6976 0.0502  6 Si 2.77-2.94, 1 Mg 3.06
Mg 0.3838 0.1807 0.6143  6 Si 2.76-3.02, 2 Mg 3.06-3.08
Mg 0.4352 0.6702 0.5886  6 Si 2.74-2.97, 1 Mg 3.06
Si 0.1308 0.1419 0.4357  2 Si 2.41-2.54
Si 0.1358 0.7227 0.4312  2 Si 2.41-2.54
Si 0.1956 0.4337 0.8980  2 Si 2.41-2.48
Si 0.2102 0.0231 0.9012  2 Si 2.41-2.48
Si 0.4593 0.8848 0.7655  2 Si 2.41-2.47
Si 0.4785 0.4756 0.7703  2 Si 2.41-2.47



(4)
DFT (PBE) results for a relaxed structure of Nd2MgPt2.

For the density, the calculation gives 9.8 g cm⁻³. The value obtained for the energy relative to the elements is -0.94 eV per atom.

Unit cell a=12.1907 b=4.1932 c=10.8029 alpha=90.00 beta=120.52 gamma=90.00
Closest atoms and distances in Å follow each position.
Space group C2/m (No. 12)
Unique sites:
Nd 0.0141 0.0000 0.1772  6 Pt 2.99-3.17, 2 Mg 3.29
Nd 0.1786 0.0000 0.6015  3 Pt 2.96-3.06
Mg 0.2131 0.5000 0.8727  4 Pt 2.66-2.88
Pt 0.0337 0.5000 0.3851  1 Mg 2.88, 4 Nd 2.96-2.99, 1 Pt 2.99
Pt 0.1354 0.5000 0.0738  3 Mg 2.66-2.78, 1 Pt 2.85



(5)
DFT (PBE) results for a relaxed structure of HoP4N7.

Its formation energy from raw total energies is -0.33 eV per atom. For the density, the calculation gives 4.3 g cm⁻³.

Unit cell a=11.1526 b=5.6650 c=4.7447 alpha=90.00 beta=90.00 gamma=90.00
Closest atoms and distances in Å follow each position.
Space group Pmn2_1 (No. 31)
Unique sites:
Ho 0.0000 0.1622 0.0000  3 N 2.27-2.29
P 0.1269 0.6882 0.3459  4 N 1.61-1.68
P 0.2333 0.2224 0.3405  3 N 1.62-1.66
N 0.0000 0.8097 0.2368  2 P 1.66
N 0.1204 0.4006 0.2621  2 P 1.66-1.68
N 0.1401 0.7375 0.6788  2 P 1.61-1.62
N 0.2464 0.7876 0.1797  2 P 1.63-1.65



(6)
DFT (PBE) results for a relaxed structure of Ca6ZnPd2.

For the density, the calculation gives 3.3 g cm⁻³. The value obtained for the energy relative to the elements is -0.41 eV per atom.

Unit cell a=9.7231 b=9.8188 c=11.0478 alpha=90.00 beta=90.00 gamma=90.00
Closest atoms and distances in Å follow each position.
Space group Immm (No. 71)
Unique sites:
Ca 0.0000 0.1921 0.2464  1 Pd 2.89
Ca 0.1807 0.5000 0.1581  3 Pd 2.92-3.21
Ca 0.2102 0.3228 0.5000  3 Pd 3.04-3.05, 1 Zn 3.31
Zn 0.0000 0.0000 0.0000  2 Pd 2.87
Zn 0.0000 0.0000 0.5000  12 Ca 3.38-3.77
Pd 0.0000 0.2923 0.0000  1 Zn 2.87, 8 Ca 2.89-3.21
Pd 0.0000 0.5000 0.3690  1 Pd 2.90, 6 Ca 2.92-3.05



(7)
DFT (PBE) results for a relaxed structure of Pm3MgN.

Its formation energy from raw total energies is -0.62 eV per atom. For the density, the calculation gives 6.2 g cm⁻³.

Unit cell a=5.0368 b=5.0368 c=5.0368 alpha=90.00 beta=90.00 gamma=90.00
Closest atoms and distances in Å follow each position.
Space group Pm-3m (No. 221)
Unique sites:
Pm 0.0000 0.0000 0.5000  2 N 2.52
Mg 0.5000 0.5000 0.5000  12 Pm 3.56
N 0.0000 0.0000 0.0000  6 Pm 2.52



(8)
DFT (PBE) results for a relaxed structure of LiOs2Pb.

For the density, the calculation gives 14.7 g cm⁻³. The value obtained for the energy relative to the elements is 0.63 eV per atom.

Unit cell a=2.8671 b=4.5785 c=5.1143 alpha=90.00 beta=90.80 gamma=90.00
Closest atoms and distances in Å follow each position.
Space group P2/m (No. 10)
Unique sites:
Li 0.0000 0.0000 0.0000  4 Os 2.63, 2 Li 2.87, 2 Pb 2.91
Os 0.2561 0.5000 0.7938  2 Os 2.51-2.59, 2 Li 2.63
Pb 0.5000 0.0000 0.5000  4 Os 2.83, 2 Pb 2.87, 4 Li 2.91-2.95